# CdTc2H2

A relaxed structure of CdTc2H2 (PBE-GGA, Alexandria). Values from VASP.

Summary:
Fermi-level density of states, states/eV/atom: 0.372
Uncorrected energy, eV per formula unit: -27.2
Total magnetic moment, μB/f.u.: 0.00

The structure in Quantum ESPRESSO input format:
```
&SYSTEM
  ibrav = 0, nat = 5, ntyp = 3
/
ATOMIC_SPECIES
Cd 112.41 Cd.upf
Tc 98.00 Tc.upf
H 1.01 H.upf
ATOMIC_POSITIONS angstrom
Cd 0.000 0.000 0.000
Tc 0.000 0.000 3.640
Tc 0.000 0.000 7.366
H 1.586 0.000 2.752
H 0.000 1.586 2.752
CELL_PARAMETERS angstrom
-1.586 1.586 5.503
1.586 -1.586 5.503
1.586 1.586 -5.503
```